Density functional theory data (PBE) for a relaxed structure of ReNi5Rh6.

```
ReNi5Rh6
1.0
6.4673 -2.6738 0.0000
6.4673 2.6738 0.0000
-0.1865 0.0000 4.5094
Re Ni Rh
1 5 6
Direct
0.0000 0.0000 0.0000
0.1628 0.1628 0.6683
0.3320 0.3320 0.3354
0.5000 0.5000 0.0000
0.6680 0.6680 0.6646
0.8372 0.8372 0.3317
0.0845 0.5814 0.8352
0.2546 0.7454 0.5000
0.4186 0.9155 0.1648
0.5814 0.0845 0.8352
0.7454 0.2546 0.5000
0.9155 0.4186 0.1648
```

## Properties
**D(E_F)**: 1.642 states/eV/atom
**Electronic total energy**: -7.114 eV/atom
**ΔE_f**: 0.092 eV per formula unit